# 1
This record from the Alexandria database describes Tl2IrI at its PBEsol-relaxed geometry. The functional is SCAN.

The structure in CIF format:
```
data_Tl2IrI
_chemical_formula_sum 'Tl8 Ir4 I4'
_space_group_name_H-M_alt 'F m -3 m'
_space_group_IT_number 225
_space_group_name_Hall '-F 4 2 3'
_cell_length_a 7.367
_cell_length_b 7.367
_cell_length_c 7.367
_cell_angle_alpha 90.00
_cell_angle_beta 90.00
_cell_angle_gamma 90.00
loop_
_atom_site_label
_atom_site_fract_x
_atom_site_fract_y
_atom_site_fract_z
Tl1 0.250 0.250 0.250
Ir1 0.000 0.000 0.000
I1 0.000 0.000 0.500
```

Properties
formation energy without anion corrections = 0.972 eV/atom
magnetic moment = 7.48 Bohr magnetons per cell

=====

# 2
This record from the Alexandria database describes NaBeTe2 at its PBEsol-relaxed geometry. The functional is SCAN.

The structure in CIF format:
```
data_NaBeTe2
_chemical_formula_sum 'Na4 Be4 Te8'
_space_group_name_H-M_alt 'I -4 2 d'
_space_group_IT_number 122
_space_group_name_Hall 'I -4 2bw'
_cell_length_a 7.377
_cell_length_b 7.377
_cell_length_c 7.422
_cell_angle_alpha 90.00
_cell_angle_beta 90.00
_cell_angle_gamma 90.00
loop_
_atom_site_label
_atom_site_fract_x
_atom_site_fract_y
_atom_site_fract_z
Na1 0.000 0.000 0.000
Be1 0.000 0.000 0.500
Te1 0.172 0.250 0.625
```

Properties
formation energy without anion corrections = -0.429 eV/atom
magnetic moment = 0.00 Bohr magnetons per cell

=====

# 3
This record from the Alexandria database describes LaRhSe2 at its PBEsol-relaxed geometry. The functional is SCAN.

The structure in CIF format:
```
data_LaRhSe2
_chemical_formula_sum 'La1 Rh1 Se2'
_space_group_name_H-M_alt 'P 4/m m m'
_space_group_IT_number 123
_space_group_name_Hall '-P 4 2'
_cell_length_a 4.700
_cell_length_b 4.700
_cell_length_c 3.606
_cell_angle_alpha 90.00
_cell_angle_beta 90.00
_cell_angle_gamma 90.00
loop_
_atom_site_label
_atom_site_fract_x
_atom_site_fract_y
_atom_site_fract_z
La1 0.000 0.000 0.000
Rh1 0.500 0.500 0.000
Se1 0.000 0.500 0.500
```

Properties
formation energy without anion corrections = -0.985 eV/atom
magnetic moment = 0.00 Bohr magnetons per cell
offset from the most stable computed form = 293 meV/atom